[1]
ScCo4Se: optimized geometry, PBE.

Unit cell a=4.883 b=4.883 c=4.883 alpha=60.00 beta=60.00 gamma=60.00
Last column: magnetic moment on the atom in μB.
Sites, in units of the cell vectors:
Co  0.874  0.375  0.375  1.59
Co  0.375  0.375  0.874  1.59
Co  0.375  0.874  0.375  1.59
Co  0.375  0.375  0.375  1.59
Sc  0.750  0.750  0.750  -0.30
Se  0.000  0.000  0.000  0.12

SG: F-43m, No. 216
Total DFT energy (no corrections) in eV/cell: -38.53

[2]
ScCoSe4: optimized geometry, PBE.

Unit cell a=5.603 b=5.603 c=5.603 alpha=60.00 beta=60.00 gamma=60.00
Last column: magnetic moment on the atom in μB.
Sites, in units of the cell vectors:
Se  0.376  0.873  0.376  0.00
Se  0.873  0.376  0.376  0.00
Se  0.376  0.376  0.873  0.00
Se  0.376  0.376  0.376  0.00
Co  0.750  0.750  0.750  1.98
Sc  0.000  0.000  0.000  -0.23

SG: F-43m, No. 216
Total DFT energy (no corrections) in eV/cell: -24.18

[3]
Sc6Co2Se: optimized geometry, PBE.

Unit cell a=7.725 b=7.725 c=7.725 alpha=105.50 beta=111.50 gamma=111.48
Sites, in units of the cell vectors:
Sc  0.314  0.640  0.326
Sc  0.464  0.282  0.182
Sc  0.686  0.360  0.674
Sc  0.800  0.234  0.034
Sc  0.900  0.718  0.182
Sc  0.800  0.766  0.565
Sc  0.100  0.282  0.818
Sc  0.314  0.989  0.674
Sc  0.686  0.011  0.326
Sc  0.536  0.718  0.818
Sc  0.200  0.234  0.435
Sc  0.200  0.766  0.966
Se  0.000  0.000  0.000
Se  0.000  0.500  0.500
Co  0.500  0.622  0.122
Co  0.500  0.378  0.878
Co  0.660  0.000  0.660
Co  0.340  0.000  0.340

SG: Immm, No. 71
Total DFT energy (no corrections) in eV/cell: -119.45

[4]
ScCoSe3: optimized geometry, PBE.

Unit cell a=4.675 b=4.675 c=4.675 alpha=90.00 beta=90.00 gamma=90.00
Last column: magnetic moment on the atom in μB.
Sites, in units of the cell vectors:
Co  0.000  0.000  0.000  0.43
Sc  0.500  0.500  0.500  -0.02
Se  0.000  0.000  0.500  0.03
Se  0.500  0.000  0.000  0.06
Se  0.000  0.500  0.000  0.02

SG: Pm-3m, No. 221
Energy relative to the lowest polymorph listed for this composition in eV/atom: 0.000

[5]
ScCoSe3: optimized geometry, PBE.

Unit cell a=5.113 b=5.113 c=5.113 alpha=90.00 beta=90.00 gamma=90.00
Last column: magnetic moment on the atom in μB.
Sites, in units of the cell vectors:
Se  0.000  0.000  0.500  0.12
Se  0.000  0.500  0.000  0.13
Se  0.500  0.000  0.000  0.08
Co  0.500  0.500  0.500  2.30
Sc  0.000  0.000  0.000  0.00

SG: Pm-3m, No. 221
Energy relative to the lowest polymorph listed for this composition in eV/atom: 0.420

[6]
Sc3CoSe: optimized geometry, PBE.

Unit cell a=3.557 b=5.530 c=10.071 alpha=97.31 beta=100.17 gamma=90.00
Sites, in units of the cell vectors:
Sc  0.638  0.071  0.275
Sc  0.805  0.397  0.610
Sc  0.000  0.755  0.000
Sc  0.000  0.245  0.000
Sc  0.362  0.929  0.725
Sc  0.195  0.603  0.390
Co  0.234  0.122  0.467
Co  0.766  0.878  0.533
Se  0.414  0.460  0.828
Se  0.586  0.540  0.172

SG: C2/m, No. 12
Energy relative to the lowest polymorph listed for this composition in eV/atom: 0.000

[7]
Sc4CoSe: optimized geometry, PBE.

Unit cell a=5.671 b=5.671 c=5.671 alpha=60.00 beta=60.00 gamma=60.00
Last column: magnetic moment on the atom in μB.
Sites, in units of the cell vectors:
Sc  0.374  0.374  0.374  -0.02
Sc  0.374  0.374  0.879  -0.02
Sc  0.374  0.879  0.374  -0.02
Sc  0.879  0.374  0.374  -0.02
Co  0.000  0.000  0.000  1.65
Se  0.750  0.750  0.750  0.01

SG: F-43m, No. 216
Energy relative to the lowest polymorph listed for this composition in eV/atom: 1.118

[8]
Sc4CoSe: optimized geometry, PBE.

Unit cell a=3.649 b=7.340 c=17.457 alpha=90.00 beta=90.00 gamma=90.00
Sites, in units of the cell vectors:
Se  0.250  0.758  0.309
Se  0.750  0.242  0.691
Se  0.750  0.742  0.809
Se  0.250  0.258  0.191
Sc  0.250  0.501  0.431
Sc  0.750  0.859  0.649
Sc  0.750  0.999  0.931
Sc  0.750  0.361  0.050
Sc  0.750  0.359  0.851
Sc  0.750  0.459  0.283
Sc  0.250  0.139  0.550
Sc  0.750  0.861  0.450
Sc  0.250  0.639  0.950
Sc  0.250  0.641  0.149
Sc  0.750  0.499  0.569
Sc  0.750  0.959  0.217
Sc  0.250  0.541  0.717
Sc  0.250  0.141  0.351
Sc  0.250  0.041  0.783
Sc  0.250  0.001  0.069
Co  0.250  0.756  0.551
Co  0.250  0.256  0.949
Co  0.750  0.744  0.051
Co  0.750  0.244  0.449

SG: Pnma, No. 62
Energy relative to the lowest polymorph listed for this composition in eV/atom: 0.000

[9]
ScCo3Se: optimized geometry, PBE.

Unit cell a=4.314 b=4.314 c=4.314 alpha=90.00 beta=90.00 gamma=90.00
Last column: magnetic moment on the atom in μB.
Sites, in units of the cell vectors:
Co  0.000  0.000  0.500  0.58
Co  0.000  0.500  0.000  0.90
Co  0.500  0.000  0.000  1.18
Se  0.000  0.000  0.000  0.03
Sc  0.500  0.500  0.500  -0.21

SG: Pm-3m, No. 221
Energy relative to the lowest polymorph listed for this composition in eV/atom: 0.000

[10]
ScCo3Se: optimized geometry, PBE.

Unit cell a=4.487 b=4.487 c=4.487 alpha=90.00 beta=90.00 gamma=90.00
Last column: magnetic moment on the atom in μB.
Sites, in units of the cell vectors:
Sc  0.000  0.000  0.000  -0.35
Co  0.500  0.000  0.000  1.22
Co  0.000  0.500  0.000  1.38
Co  0.000  0.000  0.500  1.17
Se  0.500  0.500  0.500  0.09

SG: Pm-3m, No. 221
Energy relative to the lowest polymorph listed for this composition in eV/atom: 1.118

[11]
SrSc2CoSe: optimized geometry, PBE.

Unit cell a=4.675 b=6.036 c=4.675 alpha=90.00 beta=90.00 gamma=90.00
Sites, in units of the cell vectors:
Sr  0.000  0.500  0.000
Co  0.000  0.000  0.000
Se  0.500  0.500  0.500
Sc  0.500  0.000  0.000
Sc  0.000  0.000  0.500

SG: P4/mmm, No. 123
Total DFT energy (no corrections) in eV/cell: -26.54

[12]
ScCo2Si2: optimized geometry, PBE.

Unit cell a=5.021 b=5.021 c=8.183 alpha=70.27 beta=70.27 gamma=44.04
Last column: magnetic moment on the atom in μB.
Sites, in units of the cell vectors:
Si  0.343  0.343  0.542  0.00
Si  0.114  0.114  0.867  0.00
Si  0.657  0.657  0.458  0.00
Si  0.886  0.886  0.133  0.00
Sc  0.401  0.401  0.864  0.00
Sc  0.599  0.599  0.136  0.00
Co  0.942  0.942  0.384  0.05
Co  0.269  0.269  0.286  0.04
Co  0.731  0.731  0.714  0.04
Co  0.058  0.058  0.616  0.05

SG: C2/m, No. 12
Energy relative to the lowest polymorph listed for this composition in eV/atom: 0.177

[13]
ScCo2Si2: optimized geometry, PBE.

Unit cell a=6.940 b=6.940 c=2.633 alpha=90.00 beta=90.00 gamma=90.00
Sites, in units of the cell vectors:
Co  0.636  0.136  0.000
Co  0.364  0.864  0.000
Co  0.136  0.364  0.000
Co  0.864  0.636  0.000
Sc  0.000  0.000  0.000
Sc  0.500  0.500  0.000
Si  0.656  0.844  0.500
Si  0.844  0.344  0.500
Si  0.156  0.656  0.500
Si  0.344  0.156  0.500

SG: P4/mbm, No. 127
Energy relative to the lowest polymorph listed for this composition in eV/atom: 0.283

[14]
Sc2CoSi: optimized geometry, PBE.

Unit cell a=3.221 b=3.204 c=7.191 alpha=63.53 beta=90.00 gamma=90.00
Last column: magnetic moment on the atom in μB.
Sites, in units of the cell vectors:
Sc  0.000  0.013  0.987  -0.07
Sc  0.000  0.487  0.513  -0.07
Co  0.500  0.750  0.750  0.96
Si  0.500  0.250  0.250  0.04

SG: Pmmm, No. 47
Total DFT energy (no corrections) in eV/cell: -27.07

[15]
Sc6Co16Si7: optimized geometry, PBE.

Unit cell a=8.053 b=8.053 c=8.053 alpha=60.00 beta=60.00 gamma=60.00
Last column: magnetic moment on the atom in μB.
Sites, in units of the cell vectors:
Co  0.327  0.020  0.327  0.49
Co  0.361  0.880  0.880  0.34
Co  0.673  0.980  0.673  0.49
Co  0.880  0.361  0.880  0.34
Co  0.120  0.120  0.120  0.34
Co  0.120  0.639  0.120  0.34
Co  0.673  0.673  0.673  0.49
Co  0.880  0.880  0.880  0.34
Co  0.673  0.673  0.980  0.49
Co  0.327  0.327  0.327  0.49
Co  0.020  0.327  0.327  0.49
Co  0.327  0.327  0.020  0.49
Co  0.639  0.120  0.120  0.34
Co  0.880  0.880  0.361  0.34
Co  0.980  0.673  0.673  0.49
Co  0.120  0.120  0.639  0.34
Sc  0.287  0.713  0.287  -0.06
Sc  0.713  0.287  0.713  -0.06
Sc  0.287  0.713  0.713  -0.06
Sc  0.713  0.287  0.287  -0.06
Sc  0.287  0.287  0.713  -0.06
Sc  0.713  0.713  0.287  -0.06
Si  0.500  0.500  0.000  -0.01
Si  0.000  0.000  0.500  -0.01
Si  0.500  0.000  0.000  -0.01
Si  0.000  0.500  0.000  -0.01
Si  0.000  0.000  0.000  -0.01
Si  0.000  0.500  0.500  -0.01
Si  0.500  0.000  0.500  -0.01

SG: Fm-3m, No. 225
Total DFT energy (no corrections) in eV/cell: -208.21

[16]
Sc12Co6Si: optimized geometry, PBE.

Unit cell a=7.709 b=7.709 c=7.709 alpha=109.47 beta=109.47 gamma=109.47
Sites, in units of the cell vectors:
Co  0.500  0.879  0.379
Co  0.621  0.500  0.121
Co  0.879  0.379  0.500
Co  0.379  0.500  0.879
Co  0.121  0.621  0.500
Co  0.500  0.121  0.621
Sc  0.510  0.803  0.707
Sc  0.293  0.096  0.803
Sc  0.096  0.803  0.293
Sc  0.490  0.197  0.293
Sc  0.904  0.197  0.707
Sc  0.803  0.293  0.096
Sc  0.197  0.707  0.904
Sc  0.707  0.904  0.197
Sc  0.803  0.707  0.510
Sc  0.197  0.293  0.490
Sc  0.293  0.490  0.197
Sc  0.707  0.510  0.803
Si  0.000  0.000  0.000

SG: Im-3, No. 204
Total DFT energy (no corrections) in eV/cell: -130.24

[17]
Sc3Co2Si: optimized geometry, PBE.

Unit cell a=6.987 b=6.988 c=5.660 alpha=90.00 beta=90.00 gamma=119.99
Last column: magnetic moment on the atom in μB.
Sites, in units of the cell vectors:
Sc  0.817  0.634  0.750  -0.09
Sc  0.183  0.366  0.250  -0.09
Sc  0.366  0.183  0.750  -0.09
Sc  0.634  0.817  0.250  -0.09
Sc  0.183  0.817  0.250  -0.09
Sc  0.817  0.183  0.750  -0.09
Co  0.667  0.333  0.444  0.41
Co  0.333  0.667  0.556  0.41
Co  0.667  0.333  0.056  0.41
Co  0.333  0.667  0.944  0.41
Si  0.000  0.000  0.500  0.01
Si  0.000  0.000  0.000  0.01

SG: P6_3/mmc, No. 194
Total DFT energy (no corrections) in eV/cell: -75.47

[18]
Sc6Co2Si: optimized geometry, PBE.

Unit cell a=7.645 b=7.645 c=7.645 alpha=106.98 beta=110.71 gamma=110.75
Sites, in units of the cell vectors:
Sc  0.801  0.760  0.561
Sc  0.694  0.368  0.674
Sc  0.306  0.632  0.326
Sc  0.095  0.277  0.818
Sc  0.459  0.277  0.182
Sc  0.199  0.240  0.439
Sc  0.694  0.020  0.326
Sc  0.199  0.760  0.959
Sc  0.306  0.980  0.674
Sc  0.905  0.723  0.182
Sc  0.541  0.723  0.818
Sc  0.801  0.240  0.041
Si  0.000  0.500  0.500
Si  0.000  0.000  0.000
Co  0.500  0.622  0.122
Co  0.500  0.378  0.878
Co  0.663  0.000  0.663
Co  0.337  0.000  0.337

SG: Immm, No. 71
Total DFT energy (no corrections) in eV/cell: -122.54

[19]
Sc3CoSi3: optimized geometry, PBE.

Unit cell a=3.963 b=5.326 c=12.100 alpha=84.63 beta=80.57 gamma=68.16
Sites, in units of the cell vectors:
Si  0.866  0.722  0.546
Si  0.119  0.838  0.924
Si  0.954  0.851  0.241
Si  0.881  0.162  0.076
Si  0.046  0.149  0.759
Si  0.134  0.278  0.454
Sc  0.744  0.740  0.773
Sc  0.400  0.280  0.919
Sc  0.256  0.260  0.227
Sc  0.600  0.720  0.081
Sc  0.523  0.332  0.621
Sc  0.477  0.668  0.379
Co  0.754  0.076  0.416
Co  0.246  0.924  0.584

SG: C2/m, No. 12
Total DFT energy (no corrections) in eV/cell: -96.57

[20]
Sc2CoSi: optimized geometry, PBE.

Unit cell a=5.211 b=5.211 c=5.211 alpha=136.78 beta=136.78 gamma=62.77
Sites, in units of the cell vectors:
Sc  0.250  0.750  0.500
Sc  0.000  0.000  0.000
Co  0.750  0.250  0.500
Si  0.500  0.500  0.000

SG: I-4m2, No. 119
Total DFT energy (no corrections) in eV/cell: -26.62

[21]
Sc2Co9Si6: optimized geometry, PBE.

Unit cell a=4.993 b=4.993 c=10.716 alpha=90.00 beta=90.00 gamma=120.00
Last column: magnetic moment on the atom in μB.
Sites, in units of the cell vectors:
Si  0.333  0.667  0.000  -0.01
Si  0.333  0.667  0.664  0.00
Si  0.667  0.333  0.000  -0.01
Si  0.667  0.333  0.664  0.00
Si  0.333  0.667  0.336  0.00
Si  0.667  0.333  0.336  0.00
Co  0.000  0.500  0.500  0.04
Co  0.500  0.000  0.831  0.45
Co  0.500  0.000  0.169  0.45
Co  0.500  0.000  0.500  0.04
Co  0.000  0.500  0.831  0.45
Co  0.500  0.500  0.169  0.45
Co  0.500  0.500  0.831  0.45
Co  0.500  0.500  0.500  0.04
Co  0.000  0.500  0.169  0.45
Sc  0.000  0.000  0.326  -0.07
Sc  0.000  0.000  0.674  -0.07

SG: P6/mmm, No. 191
Total DFT energy (no corrections) in eV/cell: -116.70

[22]
Sc2CoSi: optimized geometry, PBE.

Unit cell a=4.436 b=4.436 c=4.436 alpha=60.00 beta=60.00 gamma=60.00
Last column: magnetic moment on the atom in μB.
Sites, in units of the cell vectors:
Sc  0.000  0.000  0.000  0.45
Sc  0.750  0.750  0.750  0.20
Si  0.250  0.250  0.250  0.01
Co  0.500  0.500  0.500  0.18

SG: F-43m, No. 216
Total DFT energy (no corrections) in eV/cell: -26.26

Number 1: total magnetization 1.00 μB/atom. Number 2: total magnetization 0.28 μB/atom. Number 3: total magnetization 0.00 μB/atom. Number 4: total magnetization 0.11 μB/atom. Number 5: total magnetization 0.58 μB/atom. Number 6: total magnetization 0.00 μB/atom. Number 7: total magnetization 0.23 μB/atom. Number 8: total magnetization 0.00 μB/atom. Number 9: total magnetization 0.45 μB/atom. Number 10: total magnetization 0.70 μB/atom. Number 11: total magnetization 0.00 μB/atom. Number 12: total magnetization 0.02 μB/atom. Number 13: total magnetization 0.00 μB/atom. Number 14: total magnetization 0.20 μB/atom. Number 15: total magnetization 0.20 μB/atom. Number 16: total magnetization 0.00 μB/atom. Number 17: total magnetization 0.07 μB/atom. Number 18: total magnetization 0.00 μB/atom. Number 19: total magnetization 0.00 μB/atom. Number 20: total magnetization 0.00 μB/atom. Number 21: total magnetization 0.15 μB/atom. Number 22: total magnetization 0.25 μB/atom.